Tm3AlO6 after structural relaxation, computed with GGA-PBE.

abc: 6.350 6.350 6.350
angles: 92.40 92.40 92.40
Positions (direct):
Tm: 0.435 0.929 0.745
Tm: 0.929 0.745 0.435
Tm: 0.255 0.565 0.071
Tm: 0.745 0.435 0.929
Tm: 0.071 0.255 0.565
Tm: 0.565 0.071 0.255
Al: 0.000 0.000 0.000
Al: 0.500 0.500 0.500
O: 0.295 0.927 0.069
O: 0.073 0.931 0.705
O: 0.584 0.793 0.457
O: 0.931 0.705 0.073
O: 0.457 0.584 0.793
O: 0.207 0.543 0.416
O: 0.793 0.457 0.584
O: 0.543 0.416 0.207
O: 0.069 0.295 0.927
O: 0.416 0.207 0.543
O: 0.927 0.069 0.295
O: 0.705 0.073 0.931

Results
* SG: R-3

---

Tm3AlO6 after structural relaxation, computed with GGA-PBE.

abc: 5.317 6.999 6.999
angles: 102.79 90.00 90.00
Positions (direct):
Tm: 0.477 0.913 0.701
Tm: 0.977 0.701 0.913
Tm: 0.430 0.398 0.602
Tm: 0.930 0.602 0.398
Tm: 0.977 0.087 0.299
Tm: 0.477 0.299 0.087
Al: 0.012 0.195 0.805
Al: 0.512 0.805 0.195
O: 0.205 0.677 0.644
O: 0.705 0.644 0.677
O: 0.180 0.418 0.892
O: 0.680 0.892 0.418
O: 0.141 0.043 0.957
O: 0.680 0.214 0.786
O: 0.180 0.786 0.214
O: 0.641 0.957 0.043
O: 0.180 0.108 0.582
O: 0.680 0.582 0.108
O: 0.205 0.356 0.323
O: 0.705 0.323 0.356

Results
* SG: Cmc2_1

---

Number 1: uncorrected energy -163.640 eV for the cell shown, size of the total moment 0.000 μB per cell. Number 2: uncorrected energy -163.841 eV for the cell shown, size of the total moment 0.000 μB per cell.